{"formula": "CaCrTe2N", "functional": "GGA-PBE", "state": "relaxed", "spacegroup": "P4/mmm (123)", "dos_ef_per_ev_atom": 0.611, "magnetic_moment_mub_per_cell": 5.96, "relative_energy_ev_per_atom": 1.3015, "lattice_angstrom": [[5.9048, 0.0000, 0.0000], [0.0000, 5.9048, 0.0000], [0.0000, 0.0000, 4.3963]], "species": ["Ca", "Cr", "Te", "Te", "N"], "frac_coords": [[0.0000, 0.0000, 0.0000], [0.5000, 0.5000, 0.5000], [0.0000, 0.5000, 0.0000], [0.5000, 0.0000, 0.0000], [0.0000, 0.0000, 0.5000]]}